Record 1
Entry from Alexandria via LeMat-Bulk: a geometry-optimized Y6Sc7 structure (PBE-GGA).

Structure (POSCAR):
```
Y6Sc7
1.0
3.150 1.819 11.233
-3.150 1.819 11.233
0.000 -3.637 11.233
Y Sc
6 7
direct
0.047 0.047 0.047
0.150 0.150 0.150
0.333 0.333 0.333
0.667 0.667 0.667
0.850 0.850 0.850
0.953 0.953 0.953
0.089 0.590 0.590
0.410 0.410 0.911
0.410 0.911 0.410
0.500 0.500 0.500
0.590 0.089 0.590
0.590 0.590 0.089
0.911 0.410 0.410
```

Properties
Crystal system   trigonal
Energy of formation from the pure elements   0.198 eV per atom
Space group   R-3m (166)
Total magnetic moment   12.0 μB per cell

Record 2
Entry from Alexandria via LeMat-Bulk: a geometry-optimized YSc structure (PBE-GGA).

Structure (POSCAR):
```
YSc
1.0
5.408 0.000 0.000
0.000 3.492 0.000
0.000 0.000 6.027
Y Sc
2 2
direct
0.250 0.000 0.175
0.750 0.000 0.825
0.250 0.500 0.661
0.750 0.500 0.339
```

Properties
Crystal system   orthorhombic
Energy of formation from the pure elements   0.023 eV per atom
Space group   Pmma (51)
Energy above the lowest structure with this stoichiometry   0 meV per atom
Total magnetic moment   0.0 μB per cell

Record 3
Entry from Alexandria via LeMat-Bulk: a geometry-optimized Y2Sc structure (PBE-GGA).

Structure (POSCAR):
```
Y2Sc
1.0
5.469 0.000 0.000
0.000 5.469 0.000
0.000 0.000 3.441
Y Sc
2 1
direct
0.000 0.500 0.000
0.500 0.000 0.000
0.000 0.000 0.500
```

Properties
Crystal system   tetragonal
Energy of formation from the pure elements   0.464 eV per atom
Space group   P4/mmm (123)
Energy above the lowest structure with this stoichiometry   442 meV per atom
Total magnetic moment   0.0 μB per cell

Record 4
Entry from Alexandria via LeMat-Bulk: a geometry-optimized Y3Sc structure (PBE-GGA).

Structure (POSCAR):
```
Y3Sc
1.0
7.131 0.000 0.000
-3.566 6.176 0.000
0.000 0.000 5.546
Y Sc
6 2
direct
0.170 0.339 0.250
0.170 0.830 0.250
0.339 0.170 0.750
0.661 0.830 0.250
0.830 0.170 0.750
0.830 0.661 0.750
0.333 0.667 0.750
0.667 0.333 0.250
```

Properties
Crystal system   hexagonal
Energy of formation from the pure elements   0.018 eV per atom
Space group   P6_3/mmc (194)
Energy above the lowest structure with this stoichiometry   0 meV per atom
Total magnetic moment   0.1 μB per cell